Compound: HfCuAu2F
Source: Alexandria
Functional: PBE-GGA
Structure: optimized geometry

Output
- density of states at the Fermi level (states/eV per atom) = 0.59
- symmetry = No. 123
- total moment (μB per cell) = 0.00
- energy relative to the elements, uncorrected (meV/atom) = -1

Cell: 5.0937 5.0937 3.5410 Å, 90.00 90.00 90.00°
With the nearest neighbours (Å) after each atom.
Sites, in units of the cell vectors:
Hf: 0.0000 0.0000 0.0000  8 Au 3.10
Cu: 0.5000 0.5000 0.0000  2 F 1.77
Au: 0.0000 0.5000 0.5000  2 F 2.55
Au: 0.5000 0.0000 0.5000  2 F 2.55
F: 0.5000 0.5000 0.5000  2 Cu 1.77